{"formula": "LiCdPt2", "functional": "PBEsol", "state": "relaxed", "lattice_angstrom": [[-2.481, 0.575, -2.984], [1.666, -2.964, -1.957], [-2.152, -1.329, 4.112]], "species": ["Cd", "Pt", "Pt", "Li"], "frac_coords": [[0.000, 0.000, 0.000], [0.750, 0.250, 0.500], [0.250, 0.750, 0.500], [0.500, 0.500, 0.000]], "crystal_system": "tetragonal", "energy_ev_per_atom": -4.69, "sg": "I4/mmm, No. 139"}

{"formula": "RbNdP4O12", "functional": "PBEsol", "state": "relaxed", "lattice_angstrom": [[-3.312, -0.889, 6.701], [7.442, -1.106, -0.242], [-0.498, 10.611, -1.103]], "species": ["Rb", "Rb", "Nd", "Nd", "P", "P", "P", "P", "P", "P", "P", "P", "O", "O", "O", "O", "O", "O", "O", "O", "O", "O", "O", "O", "O", "O", "O", "O", "O", "O", "O", "O", "O", "O", "O", "O"], "frac_coords": [[0.689, 0.311, 0.750], [0.311, 0.689, 0.250], [0.378, 0.622, 0.750], [0.622, 0.378, 0.250], [0.757, 0.806, 0.556], [0.194, 0.243, 0.944], [0.243, 0.194, 0.444], [0.806, 0.757, 0.056], [0.875, 0.208, 0.492], [0.792, 0.125, 0.008], [0.125, 0.792, 0.508], [0.208, 0.875, 0.992], [0.661, 0.640, 0.915], [0.360, 0.339, 0.585], [0.339, 0.360, 0.085], [0.640, 0.661, 0.415], [0.249, 0.318, 0.830], [0.682, 0.751, 0.670], [0.751, 0.682, 0.170], [0.318, 0.249, 0.330], [0.139, 0.002, 0.909], [0.998, 0.861, 0.591], [0.861, 0.998, 0.091], [0.002, 0.139, 0.409], [0.812, 0.308, 0.107], [0.692, 0.188, 0.393], [0.188, 0.692, 0.893], [0.308, 0.812, 0.607], [0.406, 0.013, 0.106], [0.987, 0.594, 0.394], [0.594, 0.987, 0.894], [0.013, 0.406, 0.606], [0.030, 0.779, 0.062], [0.221, 0.970, 0.438], [0.970, 0.221, 0.938], [0.779, 0.030, 0.562]], "relative_energy_ev_per_atom": 0.004, "crystal_system": "monoclinic", "energy_ev_per_atom": -7.60, "formation_energy_uncorrected_mev_per_atom": -2471, "sg": "C2/c, No. 15"}

{"formula": "ScIN2F", "functional": "PBEsol", "state": "relaxed", "lattice_angstrom": [[4.120, 0.000, 0.000], [0.000, 4.120, 0.000], [0.000, 0.000, 5.745]], "species": ["I", "Sc", "N", "N", "F"], "frac_coords": [[0.000, 0.000, 0.500], [0.000, 0.000, 0.000], [0.000, 0.500, 0.000], [0.500, 0.000, 0.000], [0.500, 0.500, 0.500]], "relative_energy_ev_per_atom": 0.000, "crystal_system": "tetragonal", "energy_ev_per_atom": -4.93, "formation_energy_uncorrected_mev_per_atom": 544, "sg": "P4/mmm, No. 123"}

{"formula": "Sr4CaLa", "functional": "PBEsol", "state": "relaxed", "lattice_angstrom": [[-0.970, -5.682, -4.671], [4.858, -5.607, -0.081], [-1.974, -6.657, 2.615]], "species": ["Ca", "La", "Sr", "Sr", "Sr", "Sr"], "frac_coords": [[0.750, 0.750, 0.750], [0.000, 0.000, 0.000], [0.375, 0.375, 0.375], [0.375, 0.375, 0.876], [0.876, 0.375, 0.375], [0.375, 0.876, 0.375]], "crystal_system": "cubic", "energy_ev_per_atom": -2.17, "sg": "F-43m, No. 216"}